Entry from the Alexandria database: a geometry-optimized NaAcSnPb structure (PBE).

The formation energy is -0.340 eV per atom. The energy relative to the lowest polymorph listed for this composition is 0.071 eV per atom.

The space group is F-43m (No. 216) and the conventional cell measures 8.0044, 8.0044 and 8.0044 Å, with angles of 90.00, 90.00 and 90.00 degrees. The distinct sites, in fractional coordinates, are Na at (0.0000, 0.0000, 0.0000), Ac at (0.0000, 0.0000, 0.5000), Sn at (0.2500, 0.2500, 0.7500) and Pb at (0.2500, 0.2500, 0.2500).


Entry from the Alexandria database: a geometry-optimized TiAg2Cl6 structure (PBE).

The energy relative to the lowest polymorph listed for this composition is 0.015 eV per atom. Its formation energy (no corrections) is -1.02 eV per atom.

The space group is P4_2/mnm (No. 136) and the conventional cell measures 6.1742, 6.1742 and 11.6996 Å, with angles of 90.00, 90.00 and 90.00 degrees. The distinct sites, in fractional coordinates, are Ti at (0.0000, 0.0000, 0.0000), Ag at (0.0000, 0.0000, 0.3402), Cl at (0.1881, 0.1881, 0.1466) and Cl at (0.2288, 0.2288, 0.5000).